DFT (GGA-PBE) results for a geometry-optimized Zn2HgAs structure.

Cell: 6.762 6.762 6.762 Å, 90.00 90.00 90.00°
Atoms (fractional coordinates):
Zn 0.250 0.250 0.250
Zn 0.250 0.250 0.750
Zn 0.250 0.750 0.250
Zn 0.250 0.750 0.750
Zn 0.750 0.250 0.250
Zn 0.750 0.250 0.750
Zn 0.750 0.750 0.250
Zn 0.750 0.750 0.750
Hg 0.000 0.000 0.000
Hg 0.000 0.500 0.500
Hg 0.500 0.000 0.500
Hg 0.500 0.500 0.000
As 0.000 0.000 0.500
As 0.000 0.500 0.000
As 0.500 0.000 0.000
As 0.500 0.500 0.500

Output
- Space-group type: Fm-3m (225)
- Raw total energy: -1.659 eV/atom
- Formation energy: 216 meV/atom
- N(E_F): 11.1 states/eV per cell

---

DFT (GGA-PBE) results for a geometry-optimized Zn2HgAs structure.

Cell: 3.810 4.591 9.008 Å, 90.00 90.00 90.00°
Atoms (fractional coordinates):
Zn 0.000 0.000 0.000
Zn 0.000 0.500 0.206
Zn 0.500 0.000 0.206
Zn 0.500 0.500 0.000
Hg 0.000 0.000 0.472
Hg 0.500 0.500 0.472
As 0.000 0.500 0.794
As 0.500 0.000 0.794

Output
- Space-group type: Cmm2 (35)
- Raw total energy: -1.683 eV/atom
- Formation energy: 192 meV/atom
- N(E_F): 3.0 states/eV per cell

---

DFT (GGA-PBE) results for a geometry-optimized ZnHg2As structure.

Cell: 3.840 5.171 8.712 Å, 90.00 90.00 90.00°
Atoms (fractional coordinates):
Zn 0.000 0.000 0.000
Zn 0.500 0.500 0.000
Hg 0.000 0.500 0.236
Hg 0.000 0.500 0.764
Hg 0.500 0.000 0.236
Hg 0.500 0.000 0.764
As 0.000 0.000 0.500
As 0.500 0.500 0.500

Output
- ΔE to the lowest computed polymorph: 238 meV per atom
- Space-group type: Cmmm (65)
- Raw total energy: -1.371 eV/atom
- Formation energy: 261 meV/atom
- N(E_F): 2.7 states/eV per cell

---

DFT (GGA-PBE) results for a geometry-optimized Zn2HgAs structure.

Cell: 3.835 3.835 5.549 Å, 90.00 90.00 90.00°
Atoms (fractional coordinates):
Zn 0.000 0.000 0.000
Zn 0.500 0.500 0.441
Hg 0.500 0.500 0.937
As 0.000 0.000 0.473

Output
- Space-group type: P4mm (99)
- Raw total energy: -1.752 eV/atom
- Formation energy: 123 meV/atom
- N(E_F): 2.0 states/eV per cell

---

DFT (GGA-PBE) results for a geometry-optimized ZnHg2As structure.

Cell: 3.920 4.819 9.612 Å, 90.00 90.00 90.00°
Atoms (fractional coordinates):
Zn 0.000 0.000 0.000
Zn 0.500 0.500 0.000
Hg 0.000 0.000 0.476
Hg 0.000 0.500 0.770
Hg 0.500 0.000 0.770
Hg 0.500 0.500 0.476
As 0.000 0.500 0.173
As 0.500 0.000 0.173

Output
- ΔE to the lowest computed polymorph: 144 meV per atom
- Space-group type: Cmm2 (35)
- Raw total energy: -1.464 eV/atom
- Formation energy: 167 meV/atom
- N(E_F): 1.3 states/eV per cell

---

DFT (GGA-PBE) results for a geometry-optimized ZnHg2As structure.

Cell: 4.015 4.015 5.497 Å, 90.00 90.00 90.00°
Atoms (fractional coordinates):
Zn 0.000 0.000 0.000
Hg 0.500 0.500 0.250
Hg 0.500 0.500 0.750
As 0.000 0.000 0.500

Output
- ΔE to the lowest computed polymorph: 230 meV per atom
- Space-group type: P4/mmm (123)
- Raw total energy: -1.379 eV/atom
- Formation energy: 253 meV/atom
- N(E_F): 1.1 states/eV per cell

---

DFT (GGA-PBE) results for a geometry-optimized ZnHg4As structure.

Cell: 5.956 5.956 5.956 Å, 60.00 60.00 60.00°
Atoms (fractional coordinates):
Zn 0.000 0.000 0.000
Hg 0.375 0.375 0.375
Hg 0.375 0.375 0.875
Hg 0.375 0.875 0.375
Hg 0.875 0.375 0.375
As 0.750 0.750 0.750

Output
- Space-group type: F-43m (216)
- Raw total energy: -0.753 eV/atom
- Formation energy: 435 meV/atom
- N(E_F): 3.2 states/eV per cell

---

DFT (GGA-PBE) results for a geometry-optimized Zn2Hg2As structure.

Cell: 8.225 8.225 3.017 Å, 90.00 90.00 90.00°
Atoms (fractional coordinates):
Zn 0.110 0.390 0.000
Zn 0.390 0.890 0.000
Zn 0.610 0.110 0.000
Zn 0.890 0.610 0.000
Hg 0.191 0.691 0.500
Hg 0.309 0.191 0.500
Hg 0.691 0.809 0.500
Hg 0.809 0.309 0.500
As 0.000 0.000 0.500
As 0.500 0.500 0.500

Output
- ΔE to the lowest computed polymorph: 2 meV per atom
- Space-group type: P4/mbm (127)
- Raw total energy: -1.323 eV/atom
- Formation energy: 238 meV/atom
- N(E_F): 4.4 states/eV per cell

---

DFT (GGA-PBE) results for a geometry-optimized Zn2HgAs structure.

Cell: 4.004 5.436 7.386 Å, 90.00 90.00 90.00°
Atoms (fractional coordinates):
Zn 0.000 0.000 0.233
Zn 0.000 0.000 0.767
Zn 0.500 0.500 0.267
Zn 0.500 0.500 0.733
Hg 0.000 0.500 0.000
Hg 0.500 0.000 0.500
As 0.000 0.500 0.500
As 0.500 0.000 0.000

Output
- Space-group type: Immm (71)
- Raw total energy: -1.695 eV/atom
- Formation energy: 179 meV/atom
- N(E_F): 1.9 states/eV per cell

---

DFT (GGA-PBE) results for a geometry-optimized ZnHg2As structure.

Cell: 3.470 3.885 14.597 Å, 90.00 90.00 90.00°
Atoms (fractional coordinates):
Zn 0.000 0.000 0.000
Zn 0.500 0.500 0.500
Hg 0.000 0.000 0.307
Hg 0.000 0.000 0.693
Hg 0.500 0.500 0.193
Hg 0.500 0.500 0.807
As 0.000 0.000 0.500
As 0.500 0.500 0.000

Output
- ΔE to the lowest computed polymorph: 77 meV per atom
- Space-group type: Immm (71)
- Raw total energy: -1.532 eV/atom
- Formation energy: 100 meV/atom
- N(E_F): 1.7 states/eV per cell

---

DFT (GGA-PBE) results for a geometry-optimized ZnHg2As structure.

Cell: 4.162 4.162 19.250 Å, 90.00 90.00 120.00°
Atoms (fractional coordinates):
Zn 0.000 0.000 0.000
Zn 0.333 0.667 0.667
Zn 0.667 0.333 0.333
Hg 0.000 0.000 0.231
Hg 0.000 0.000 0.466
Hg 0.333 0.667 0.133
Hg 0.333 0.667 0.898
Hg 0.667 0.333 0.564
Hg 0.667 0.333 0.799
As 0.000 0.000 0.697
As 0.333 0.667 0.364
As 0.667 0.333 0.030

Output
- ΔE to the lowest computed polymorph: 34 meV per atom
- Space-group type: R3m (160)
- Raw total energy: -1.575 eV/atom
- Formation energy: 57 meV/atom
- N(E_F): 5.5 states/eV per cell

---

DFT (GGA-PBE) results for a geometry-optimized ZnHg2As structure.

Cell: 3.061 5.076 5.588 Å, 90.00 90.00 90.00°
Atoms (fractional coordinates):
Zn 0.000 0.000 0.000
Hg 0.000 0.500 0.500
Hg 0.500 0.500 0.000
As 0.500 0.000 0.500

Output
- ΔE to the lowest computed polymorph: 237 meV per atom
- Space-group type: Pmmm (47)
- Raw total energy: -1.371 eV/atom
- Formation energy: 260 meV/atom
- N(E_F): 1.0 states/eV per cell